Density functional theory data (GGA-PBE) for a relaxed structure of LiY2RhO.

Output
DOS at the Fermi energy in states/eV/atom: 0.6657
Calculated total energy in eV per atom: -6.93
Formation energy (no corrections) in kJ/mol of atoms: -144.3

Unit cell a=4.7565 b=4.7565 c=3.7954 alpha=90.00 beta=90.00 gamma=90.00
Last column: nearest neighbours and their distance in Å.
Positions (direct):
Li 0.0000 0.0000 0.0000  2 O 1.90
Y 0.0000 0.5000 0.5000  2 O 2.38
Y 0.5000 0.0000 0.5000  2 O 2.38
Rh 0.5000 0.5000 0.0000  8 Y 3.04, 4 Li 3.36
O 0.0000 0.0000 0.5000  2 Li 1.90